# BaSiTc2 (GGA-PBEsol, relaxed)
# Energy (eV/atom): -7.279
# ρ (Mg/m³): 7.831
data_BaSiTc2
_cell_length_a 3.1696
_cell_length_b 3.1696
_cell_length_c 7.6279
_cell_angle_alpha 90.00
_cell_angle_beta 90.00
_cell_angle_gamma 90.00
_symmetry_space_group_name_H-M 'P 1'
_symmetry_Int_Tables_number 1
loop_
_symmetry_equiv_pos_as_xyz
'x,y,z'
loop_
_atom_site_label
_atom_site_fract_x
_atom_site_fract_y
_atom_site_fract_z
Tc1 0.0000 0.0000 0.1551
Ba1 0.5000 0.5000 0.5000
Tc2 0.0000 0.0000 0.8449
Si1 0.5000 0.5000 0.0000